Entry 1:
MgInAg | SCAN | PBEsol geometry

Cell and atoms, written as POSCAR:
```
MgInAg
1.0
-3.753 -2.032 1.614
-0.673 -4.454 -0.724
0.314 -2.948 3.468
Mg In Ag
1 1 1
Direct
0.500 0.500 0.500
0.000 0.000 0.000
0.250 0.250 0.250
```

Output
DFT formation energy   -0.164 eV/atom
Calculated total energy   -70.22 eV for the cell shown
Symmetry   F-43m (216)
Density   6.11 g cm⁻³
Fermi-level density of states   1.33 states/eV per cell

Entry 2:
MnInAg2 | SCAN | PBEsol geometry

Cell and atoms, written as POSCAR:
```
MnInAg2
1.0
-0.507 -2.768 0.982
1.160 -2.331 -1.449
7.631 -1.223 5.011
Mn Ag In
1 2 1
Direct
0.253 0.253 0.242
0.748 0.748 0.757
0.997 0.997 0.008
0.502 0.502 0.493
```

Output
DFT formation energy   0.074 eV/atom
Calculated total energy   -114.08 eV for the cell shown
Symmetry   R3m (160)
Density   9.20 g cm⁻³
Fermi-level density of states   1.83 states/eV per cell

Entry 3:
MnInAg2 | SCAN | PBEsol geometry

Cell and atoms, written as POSCAR:
```
MnInAg2
1.0
-3.983 -1.606 0.180
1.599 -3.986 -0.162
1.387 2.724 3.671
Ag Mn In
2 1 1
Direct
0.750 0.750 0.500
0.250 0.250 0.500
0.000 0.500 0.000
0.500 0.000 0.000
```

Output
DFT formation energy   -0.061 eV/atom
Calculated total energy   -114.62 eV for the cell shown
Symmetry   I4/mmm (139)
Density   9.40 g cm⁻³
Fermi-level density of states   1.39 states/eV per cell

Entry 4:
InAgMo2 | SCAN | PBEsol geometry

Cell and atoms, written as POSCAR:
```
InAgMo2
1.0
2.757 0.000 0.000
0.000 4.456 0.000
0.000 0.000 5.400
Ag Mo In
1 2 1
Direct
0.500 0.500 0.000
0.000 0.000 0.752
0.000 0.000 0.248
0.500 0.500 0.500
```

Output
DFT formation energy   0.437 eV/atom
Calculated total energy   -132.78 eV for the cell shown
Symmetry   Pmmm (47)
Density   10.38 g cm⁻³
Fermi-level density of states   2.34 states/eV per cell

Entry 5:
InAgMo2 | SCAN | PBEsol geometry

Cell and atoms, written as POSCAR:
```
InAgMo2
1.0
-1.387 1.317 -2.121
-2.134 -1.331 -1.354
-7.427 3.592 5.166
Mo Ag In
2 1 1
Direct
0.003 0.003 0.992
0.748 0.748 0.756
0.498 0.498 0.507
0.252 0.252 0.245
```

Output
DFT formation energy   0.458 eV/atom
Calculated total energy   -132.69 eV for the cell shown
Symmetry   R3m (160)
Density   10.16 g cm⁻³
Fermi-level density of states   3.05 states/eV per cell

Entry 6:
InAgMo2 | SCAN | PBEsol geometry

Cell and atoms, written as POSCAR:
```
InAgMo2
1.0
-3.008 -2.344 0.363
1.778 -2.616 -2.161
2.464 0.679 4.602
Ag Mo In
1 2 1
Direct
0.500 0.500 0.000
0.750 0.250 0.500
0.250 0.750 0.500
0.000 0.000 0.000
```

Output
DFT formation energy   0.386 eV/atom
Calculated total energy   -132.98 eV for the cell shown
Symmetry   I4/mmm (139)
Density   10.39 g cm⁻³
Fermi-level density of states   2.03 states/eV per cell

Entry 7:
InAgPtN2 | SCAN | PBEsol geometry

Cell and atoms, written as POSCAR:
```
InAgPtN2
1.0
4.106 0.000 0.000
0.000 4.106 0.000
0.000 0.000 5.180
Ag N Pt In
1 2 1 1
Direct
0.500 0.500 0.500
0.000 0.500 0.000
0.500 0.000 0.000
0.000 0.000 0.500
0.000 0.000 0.000
```

Output
Calculated total energy   -145.11 eV for the cell shown
Symmetry   P4/mmm (123)
Density   8.48 g cm⁻³
Fermi-level density of states   2.83 states/eV per cell

Entry 8:
Na2InAg2 | SCAN | PBEsol geometry

Cell and atoms, written as POSCAR:
```
Na2InAg2
1.0
-4.208 -1.510 -0.817
-1.208 -0.436 7.029
-2.414 6.725 0.003
Na Ag In
4 4 2
Direct
0.500 0.169 0.669
0.500 0.331 0.169
0.500 0.831 0.331
0.500 0.669 0.831
0.000 0.635 0.135
0.000 0.135 0.365
0.000 0.865 0.635
0.000 0.365 0.865
0.000 0.000 0.000
0.000 0.500 0.500
```

Output
DFT formation energy   -0.046 eV/atom
Calculated total energy   -209.56 eV for the cell shown
Symmetry   P4/mbm (127)
Density   5.39 g cm⁻³
Fermi-level density of states   3.18 states/eV per cell

Entry 9:
NaIn2Ag | SCAN | PBEsol geometry

Cell and atoms, written as POSCAR:
```
NaIn2Ag
1.0
4.929 0.000 0.000
2.465 4.269 0.000
2.465 1.423 4.025
In Ag Na
2 1 1
Direct
0.250 0.250 0.250
0.750 0.750 0.750
0.500 0.500 0.500
0.000 0.000 0.000
```

Output
DFT formation energy   -0.074 eV/atom
Calculated total energy   -102.65 eV for the cell shown
Symmetry   Fm-3m (225)
Density   7.07 g cm⁻³
Fermi-level density of states   1.09 states/eV per cell

Entry 10:
NaIn2Ag2 | SCAN | PBEsol geometry

Cell and atoms, written as POSCAR:
```
NaIn2Ag2
1.0
-1.368 1.076 2.506
6.130 -3.133 4.692
4.228 7.138 -0.756
In Ag Na
4 4 2
Direct
0.000 0.371 0.871
0.000 0.129 0.371
0.000 0.629 0.129
0.000 0.871 0.629
0.500 0.830 0.330
0.500 0.330 0.170
0.500 0.170 0.670
0.500 0.670 0.830
0.000 0.000 0.000
0.000 0.500 0.500
```

Output
DFT formation energy   -0.081 eV/atom
Calculated total energy   -268.25 eV for the cell shown
Symmetry   P4/mbm (127)
Density   7.35 g cm⁻³
Fermi-level density of states   2.71 states/eV per cell

Entry 11:
NaInAg2Pd | SCAN | PBEsol geometry

Cell and atoms, written as POSCAR:
```
NaInAg2Pd
1.0
-4.314 0.626 -1.621
-0.738 -4.589 0.191
-1.717 0.474 4.753
In Ag Na Pd
1 2 1 1
Direct
0.000 0.000 0.500
0.000 0.500 0.000
0.500 0.000 0.000
0.000 0.000 0.000
0.500 0.500 0.500
```

Output
DFT formation energy   0.964 eV/atom
Calculated total energy   -128.29 eV for the cell shown
Symmetry   P4/mmm (123)
Density   6.95 g cm⁻³
Fermi-level density of states   2.17 states/eV per cell

Entry 12:
Nb3InAg | SCAN | PBEsol geometry

Cell and atoms, written as POSCAR:
```
Nb3InAg
1.0
-1.597 0.524 -4.563
3.963 -2.285 -1.649
-2.322 -4.260 0.324
In Nb Ag
1 3 1
Direct
0.500 0.500 0.500
0.000 0.500 0.000
0.500 0.000 0.000
0.000 0.000 0.500
0.000 0.000 0.000
```

Output
DFT formation energy   1.503 eV/atom
Calculated total energy   -156.63 eV for the cell shown
Symmetry   Pm-3m (221)
Density   7.24 g cm⁻³
Fermi-level density of states   6.72 states/eV per cell